1.
A geometry-optimized YMgCdIn structure. Source: the Alexandria database, functional PBE.

```
YMgCdIn
1.0
5.150 0.000 0.000
2.575 4.460 0.000
2.575 1.487 4.205
In Mg Cd Y
1 1 1 1
direct
0.250 0.250 0.250
0.000 0.000 0.000
0.750 0.750 0.750
0.500 0.500 0.500
```

Calculated values
- D(E_F) (states/eV per cell) = 1.10
- offset from the most stable computed form (meV/atom) = 28.1
- ΔE_f (eV per atom) = -0.324

=====

2.
A geometry-optimized CoTeRu2 structure. Source: the Alexandria database, functional PBE.

```
CoTeRu2
1.0
-3.891 1.993 1.170
-2.656 0.734 3.590
1.584 4.313 1.437
Ru Te Co
2 1 1
direct
0.006 0.006 0.974
0.494 0.494 0.526
0.250 0.250 0.250
0.750 0.750 0.750
```

Calculated values
- D(E_F) (states/eV per cell) = 4.33
- ΔE_f (raw) (eV/atom) = 0.357

=====

3.
A geometry-optimized PuPa5Se6 structure. Source: the Alexandria database, functional PBE.

```
PuPa5Se6
1.0
6.947 -0.151 -1.311
-3.790 5.824 -1.311
0.137 0.246 7.086
Se Pa Pu
6 5 1
direct
0.250 0.250 0.752
0.917 0.585 0.751
0.415 0.083 0.249
0.585 0.917 0.751
0.083 0.415 0.249
0.750 0.750 0.248
0.667 0.333 0.000
0.333 0.667 0.000
0.166 0.834 0.500
0.500 0.500 0.500
0.834 0.166 0.500
0.000 0.000 0.000
```

Calculated values
- D(E_F) (states/eV per cell) = 24.54
- ΔE_f (raw) (eV/atom) = -1.253

=====

4.
A geometry-optimized Pd5PbAu2 structure. Source: the Alexandria database, functional PBE.

```
Pd5PbAu2
1.0
7.095 0.000 0.000
0.000 7.095 0.000
-3.548 -3.548 5.632
Pb Pd Au
2 10 4
direct
0.750 0.750 0.500
0.250 0.250 0.500
0.187 0.982 0.670
0.018 0.518 0.330
0.313 0.813 0.330
0.687 0.187 0.670
0.518 0.313 0.330
0.982 0.482 0.670
0.482 0.687 0.670
0.813 0.018 0.330
0.000 0.000 0.000
0.500 0.500 0.000
0.854 0.646 0.000
0.146 0.354 0.000
0.646 0.146 0.000
0.354 0.854 0.000
```

Calculated values
- D(E_F) (states/eV per cell) = 12.28
- offset from the most stable computed form (meV/atom) = 109.9
- ΔE_f (eV per atom) = -0.055

=====

For reference, total moment by record: 0.00, 1.11, 8.25, 0.00 μB per cell.